{"formula": "LiCuBr6", "functional": "GGA-PBE", "state": "relaxed", "lattice": [[6.584, 1.019, -2.685], [4.030, 6.247, -2.912], [1.784, 1.029, 6.466]], "species": ["Br", "Br", "Br", "Br", "Br", "Br", "Li", "Cu"], "frac_coords": [[0.786, 0.610, 0.410], [0.617, 0.209, 0.176], [0.766, 0.089, 0.694], [0.214, 0.390, 0.590], [0.383, 0.791, 0.824], [0.234, 0.911, 0.306], [0.500, 0.500, 0.500], [0.000, 0.000, 0.000]], "space_group": "P-1, No. 2", "density_g_cm3": 3.3, "e_form_raw_mev_per_atom": -417}